No. 1
RbBa2YIn after structural relaxation. Source: the Alexandria database, functional GGA-PBE.

Structure (POSCAR):
```
RbBa2YIn
1.0
6.276 0.000 0.000
0.000 6.276 0.000
0.000 0.000 5.857
Rb Ba Y In
1 2 1 1
direct
0.000 0.000 0.000 Rb
0.000 0.500 0.000 Ba
0.500 0.000 0.000 Ba
0.000 0.000 0.500 Y
0.500 0.500 0.500 In
```

Properties
The formation energy from the elements is 0.927 eV per atom.



No. 2
PaIn2Pd after structural relaxation. Source: the Alexandria database, functional GGA-PBE.

Structure (POSCAR):
```
PaIn2Pd
1.0
4.845 0.000 0.000
0.000 4.845 0.000
0.000 0.000 7.836
Pa In Pd
2 4 2
direct
0.250 0.250 0.209 Pa
0.750 0.750 0.791 Pa
0.250 0.250 0.778 In
0.250 0.750 0.500 In
0.750 0.250 0.500 In
0.750 0.750 0.222 In
0.250 0.750 0.000 Pd
0.750 0.250 0.000 Pd
```

Properties
The formation energy from the elements is -0.245 eV per atom.



No. 3
Ca2In5IrPd2 after structural relaxation. Source: the Alexandria database, functional GGA-PBE.

Structure (POSCAR):
```
Ca2In5IrPd2
1.0
10.528 0.000 0.000
0.000 10.528 0.000
0.000 0.000 3.962
Ca In Ir Pd
4 10 2 4
direct
0.179 0.321 0.000 Ca
0.321 0.821 0.000 Ca
0.679 0.179 0.000 Ca
0.821 0.679 0.000 Ca
0.000 0.500 0.500 In
0.055 0.806 0.500 In
0.194 0.055 0.500 In
0.306 0.555 0.500 In
0.445 0.306 0.500 In
0.500 0.000 0.500 In
0.555 0.694 0.500 In
0.694 0.445 0.500 In
0.806 0.945 0.500 In
0.945 0.194 0.500 In
0.000 0.000 0.000 Ir
0.500 0.500 0.000 Ir
0.125 0.625 0.000 Pd
0.375 0.125 0.000 Pd
0.625 0.875 0.000 Pd
0.875 0.375 0.000 Pd
```

Properties
The formation energy from the elements is -0.378 eV per atom.



No. 4
KEu3 after structural relaxation. Source: the Alexandria database, functional GGA-PBE.

Structure (POSCAR):
```
KEu3
1.0
-2.886 2.886 6.067
2.886 -2.886 6.067
2.886 2.886 -6.067
K Eu
1 3
direct
0.000 0.000 0.000 K
0.250 0.750 0.500 Eu
0.500 0.500 0.000 Eu
0.750 0.250 0.500 Eu
```

Properties
The formation energy from the elements is 0.223 eV per atom. The relative energy among the computed polymorphs is 0.093 eV per formula unit.



No. 5
ErMgZn after structural relaxation. Source: the Alexandria database, functional GGA-PBE.

Structure (POSCAR):
```
ErMgZn
1.0
4.816 0.000 0.000
-2.408 4.171 0.000
0.000 0.000 3.348
Er Mg Zn
1 1 1
direct
0.000 0.000 0.000 Er
0.333 0.667 0.500 Mg
0.667 0.333 0.500 Zn
```

Properties
The formation energy from the elements is -0.168 eV per atom.



No. 6
Pr2Ag7 after structural relaxation. Source: the Alexandria database, functional GGA-PBE.

Structure (POSCAR):
```
Pr2Ag7
1.0
2.849 1.645 14.143
-2.849 1.645 14.143
0.000 -3.290 14.143
Pr Ag
4 14
direct
0.051 0.051 0.051 Pr
0.149 0.149 0.149 Pr
0.851 0.851 0.851 Pr
0.949 0.949 0.949 Pr
0.000 0.500 0.500 Ag
0.108 0.613 0.613 Ag
0.278 0.278 0.278 Ag
0.387 0.387 0.892 Ag
0.387 0.892 0.387 Ag
0.389 0.389 0.389 Ag
0.500 0.000 0.500 Ag
0.500 0.500 0.000 Ag
0.500 0.500 0.500 Ag
0.611 0.611 0.611 Ag
0.613 0.108 0.613 Ag
0.613 0.613 0.108 Ag
0.722 0.722 0.722 Ag
0.892 0.387 0.387 Ag
```

Properties
The formation energy from the elements is -0.140 eV per atom.



No. 7
ThTa2FeC4 after structural relaxation. Source: the Alexandria database, functional GGA-PBE.

Structure (POSCAR):
```
ThTa2FeC4
1.0
1.640 -5.564 0.000
1.640 5.564 0.000
0.000 0.000 10.825
Th Ta Fe C
2 4 2 8
direct
0.099 0.901 0.750 Th
0.901 0.099 0.250 Th
0.370 0.630 0.546 Ta
0.370 0.630 0.954 Ta
0.630 0.370 0.046 Ta
0.630 0.370 0.454 Ta
0.165 0.835 0.250 Fe
0.835 0.165 0.750 Fe
0.000 0.000 0.000 C
0.000 0.000 0.500 C
0.266 0.734 0.117 C
0.266 0.734 0.383 C
0.420 0.580 0.750 C
0.580 0.420 0.250 C
0.734 0.266 0.617 C
0.734 0.266 0.883 C
```

Properties
The formation energy from the elements is -0.362 eV per atom.



No. 8
CsH8Rh2 after structural relaxation. Source: the Alexandria database, functional GGA-PBE.

Structure (POSCAR):
```
CsH8Rh2
1.0
2.553 -4.163 0.000
2.553 4.163 0.000
-0.033 0.000 6.023
Cs H Rh
1 8 2
direct
0.000 0.000 0.000 Cs
0.234 0.973 0.499 H
0.445 0.445 0.657 H
0.458 0.458 0.344 H
0.518 0.911 0.336 H
0.520 0.913 0.664 H
0.911 0.518 0.336 H
0.913 0.520 0.664 H
0.973 0.234 0.499 H
0.251 0.610 0.500 Rh
0.610 0.251 0.500 Rh
```

Properties
The value obtained for the total DFT energy (no corrections) is -3.932 eV/atom.